1.
## SnH2Br2 (GGA-PBE)

Data for a relaxed structure of SnH2Br2.

**SG**: C2/m, No. 12
**ΔE to the lowest computed polymorph**: 1.90 eV/f.u.
**Size of the total moment**: 2.000 Bohr magnetons per cell
**Uncorrected energy**: -2.36 eV/atom

Unit cell a=4.414 b=4.414 c=8.377 alpha=89.85 beta=89.85 gamma=60.06
Each line ends with the local moment (μB).
Sites, in units of the cell vectors:
Sn: 0.000 0.000 0.000  0.03
H: 0.333 0.333 0.609  0.37
H: 0.667 0.667 0.391  0.37
Br: 0.333 0.333 0.196  0.04
Br: 0.667 0.667 0.804  0.04


2.
## SnH2Br2 (GGA-PBE)

Data for a relaxed structure of SnH2Br2.

**SG**: C2/m, No. 12
**ΔE to the lowest computed polymorph**: 0.00 eV/f.u.
**Size of the total moment**: 0.000 Bohr magnetons per cell
**Uncorrected energy**: -2.74 eV/atom

Unit cell a=3.173 b=6.347 c=5.635 alpha=94.62 beta=90.00 gamma=104.48
Sites, in units of the cell vectors:
Sn: 0.000 0.000 0.000
H: 0.570 0.140 0.163
H: 0.430 0.860 0.837
Br: 0.155 0.310 0.689
Br: 0.845 0.690 0.311